A plane-wave DFT calculation with PBE was carried out for crystalline MnW4Se at its relaxed geometry.

Unit cell a=7.5140 b=7.5140 c=7.5140 alpha=90.00 beta=90.00 gamma=90.00
Space group F-43m (No. 216)
One atom of each set of equivalent atoms:
1 Mn 0.0000 0.0000 0.0000
2 W 0.1253 0.1253 0.6253
3 Se 0.2500 0.2500 0.2500

## Properties
The density of states at the Fermi level is 4.27 states/eV/f.u. For the total energy, the calculation gives -9.902 eV per atom.

---

A plane-wave DFT calculation with PBE was carried out for crystalline K2CuSn4Pt3 at its relaxed geometry.

Unit cell a=4.8133 b=4.8133 c=10.4758 alpha=90.00 beta=90.00 gamma=90.00
Space group P-4m2 (No. 115)
One atom of each set of equivalent atoms:
1 K 0.0000 0.5000 0.2421
2 Cu 0.5000 0.5000 0.0000
3 Sn 0.0000 0.0000 0.5000
4 Sn 0.0000 0.5000 0.8829
5 Sn 0.5000 0.5000 0.5000
6 Pt 0.0000 0.0000 0.0000
7 Pt 0.0000 0.5000 0.6252

## Properties
The density of states at the Fermi level is 6.97 states/eV/f.u. The value obtained for the energy of formation from the pure elements is -383 meV/atom. For the total energy, the calculation gives -4.425 eV per atom.

---

A plane-wave DFT calculation with PBE was carried out for crystalline TaAuC3 at its relaxed geometry.

Unit cell a=4.0140 b=4.0140 c=4.0140 alpha=90.00 beta=90.00 gamma=90.00
Space group Pm-3m (No. 221)
One atom of each set of equivalent atoms:
1 Ta 0.0000 0.0000 0.0000
2 Au 0.5000 0.5000 0.5000
3 C 0.0000 0.5000 0.5000

## Properties
The density of states at the Fermi level is 2.90 states/eV/f.u. The value obtained for the energy of formation from the pure elements is 2908 meV/atom. For the total energy, the calculation gives -5.652 eV per atom.

---

A plane-wave DFT calculation with PBE was carried out for crystalline ScV2NiSb at its relaxed geometry.

Unit cell a=4.9157 b=4.9157 c=4.5651 alpha=90.00 beta=90.00 gamma=90.00
Space group P4/mmm (No. 123)
One atom of each set of equivalent atoms:
1 Sc 0.0000 0.0000 0.0000
2 V 0.0000 0.5000 0.5000
3 Ni 0.5000 0.5000 0.0000
4 Sb 0.5000 0.5000 0.5000

## Properties
The density of states at the Fermi level is 6.08 states/eV/f.u. For the total energy, the calculation gives -5.984 eV per atom.

---

A plane-wave DFT calculation with PBE was carried out for crystalline Hf2SBr at its relaxed geometry.

Unit cell a=6.5769 b=6.5769 c=6.5769 alpha=90.00 beta=90.00 gamma=90.00
Space group Fm-3m (No. 225)
One atom of each set of equivalent atoms:
1 Hf 0.2500 0.2500 0.2500
2 S 0.0000 0.0000 0.0000
3 Br 0.0000 0.0000 0.5000

## Properties
The density of states at the Fermi level is 2.10 states/eV/f.u. For the total energy, the calculation gives -6.843 eV per atom.

---

A plane-wave DFT calculation with PBE was carried out for crystalline Re2HgB at its relaxed geometry.

Unit cell a=6.1176 b=6.1176 c=6.1176 alpha=90.00 beta=90.00 gamma=90.00
Space group Fm-3m (No. 225)
One atom of each set of equivalent atoms:
1 Re 0.2500 0.2500 0.2500
2 Hg 0.0000 0.0000 0.0000
3 B 0.0000 0.0000 0.5000

## Properties
The density of states at the Fermi level is 3.40 states/eV/f.u. The value obtained for the energy of formation from the pure elements is 1372 meV/atom. For the total energy, the calculation gives -6.597 eV per atom.

---

A plane-wave DFT calculation with PBE was carried out for crystalline BSbPd6 at its relaxed geometry.

Unit cell a=5.5579 b=5.5591 c=5.8228 alpha=61.52 beta=61.58 gamma=60.05
Space group P-1 (No. 2)
One atom of each set of equivalent atoms:
1 B 0.0000 0.0000 0.0000
2 Sb 0.5000 0.5000 0.5000
3 Pd 0.0038 0.5750 0.2343
4 Pd 0.1867 0.0039 0.2346
5 Pd 0.4247 0.8132 0.7660

## Properties
The density of states at the Fermi level is 3.28 states/eV/f.u. For the total energy, the calculation gives -5.463 eV per atom.

---

A plane-wave DFT calculation with PBE was carried out for crystalline SrLiY2 at its relaxed geometry.

Unit cell a=6.8149 b=11.2708 c=3.5958 alpha=90.00 beta=90.00 gamma=90.00
Space group Cmmm (No. 65)
One atom of each set of equivalent atoms:
1 Sr 0.0000 0.0000 0.0000
2 Li 0.0000 0.5000 0.0000
3 Y 0.2500 0.2500 0.5000

## Properties
The density of states at the Fermi level is 6.47 states/eV/f.u. The value obtained for the energy of formation from the pure elements is 321 meV/atom. For the total energy, the calculation gives -3.810 eV per atom.

---

A plane-wave DFT calculation with PBE was carried out for crystalline K2Th2Te5 at its relaxed geometry.

Unit cell a=17.2598 b=8.7318 c=8.7461 alpha=90.00 beta=90.00 gamma=90.00
Space group Cmce (No. 64)
One atom of each set of equivalent atoms:
1 K 0.2026 0.0000 0.0000
2 Th 0.0000 0.1590 0.3408
3 Te 0.0000 0.0000 0.0000
4 Te 0.1171 0.1450 0.6449

## Properties
The density of states at the Fermi level is 0.82 states/eV/f.u. For the total energy, the calculation gives -4.865 eV per atom.

---

A plane-wave DFT calculation with PBE was carried out for crystalline CsSb2AsI at its relaxed geometry.

Unit cell a=5.3752 b=5.3752 c=8.7202 alpha=90.00 beta=90.00 gamma=90.00
Space group P4/mmm (No. 123)
One atom of each set of equivalent atoms:
1 Cs 0.0000 0.0000 0.0000
2 Sb 0.0000 0.5000 0.5000
3 As 0.5000 0.5000 0.5000
4 I 0.5000 0.5000 0.0000

## Properties
The density of states at the Fermi level is 5.42 states/eV/f.u. For the total energy, the calculation gives -3.041 eV per atom.

---

A plane-wave DFT calculation with PBE was carried out for crystalline Dy2ErThBi5 at its relaxed geometry.

Unit cell a=5.7270 b=5.7270 c=11.8788 alpha=90.00 beta=90.00 gamma=90.00
Space group P4/mmm (No. 123)
One atom of each set of equivalent atoms:
1 Dy 0.0000 0.0000 0.2307
2 Er 0.5000 0.5000 0.5000
3 Th 0.5000 0.5000 0.0000
4 Bi 0.0000 0.0000 0.5000
5 Bi 0.0000 0.5000 0.0000
6 Bi 0.5000 0.5000 0.2591

## Properties
The density of states at the Fermi level is 7.41 states/eV/f.u. The value obtained for the energy of formation from the pure elements is 232 meV/atom. For the total energy, the calculation gives -4.279 eV per atom.

---

A plane-wave DFT calculation with PBE was carried out for crystalline K2LaGeF at its relaxed geometry.

Unit cell a=4.6789 b=4.6789 c=7.3755 alpha=90.00 beta=90.00 gamma=90.00
Space group P4/mmm (No. 123)
One atom of each set of equivalent atoms:
1 K 0.0000 0.5000 0.0000
2 La 0.0000 0.0000 0.5000
3 Ge 0.5000 0.5000 0.5000
4 F 0.5000 0.5000 0.0000

## Properties
The density of states at the Fermi level is 3.21 states/eV/f.u. For the total energy, the calculation gives -3.541 eV per atom.

---

A plane-wave DFT calculation with PBE was carried out for crystalline Li2PHO at its relaxed geometry.

Unit cell a=4.6253 b=4.6253 c=2.3886 alpha=90.00 beta=90.00 gamma=90.00
Space group P4/mmm (No. 123)
One atom of each set of equivalent atoms:
1 Li 0.0000 0.5000 0.0000
2 P 0.0000 0.0000 0.5000
3 H 0.5000 0.5000 0.0000
4 O 0.5000 0.5000 0.5000

## Properties
The density of states at the Fermi level is 1.33 states/eV/f.u. For the total energy, the calculation gives -4.205 eV per atom.

---

A plane-wave DFT calculation with PBE was carried out for crystalline Tb4Pr2DyY2 at its relaxed geometry.

Unit cell a=18.8224 b=3.6297 c=9.6376 alpha=90.00 beta=115.70 gamma=90.00
Space group C2/m (No. 12)
One atom of each set of equivalent atoms:
1 Tb 0.0191 0.0000 0.3340
2 Tb 0.1854 0.5000 0.3359
3 Pr 0.1653 0.0000 0.9999
4 Dy 0.0000 0.5000 0.0000
5 Y 0.1465 0.5000 0.6623

## Properties
The density of states at the Fermi level is 12.14 states/eV/f.u. The value obtained for the energy of formation from the pure elements is -2 meV/atom. For the total energy, the calculation gives -5.069 eV per atom.

---

A plane-wave DFT calculation with PBE was carried out for crystalline HfH2Cl at its relaxed geometry.

Unit cell a=3.8446 b=3.8446 c=13.3222 alpha=90.00 beta=90.00 gamma=90.00
Space group I4_1/amd (No. 141, origin choice 2)
One atom of each set of equivalent atoms:
1 Hf 0.0000 0.2500 0.3750
2 H 0.0000 0.0000 0.5000
3 Cl 0.0000 0.2500 0.8750

## Properties
The density of states at the Fermi level is 1.65 states/eV/f.u. For the total energy, the calculation gives -4.926 eV per atom.

---

A plane-wave DFT calculation with PBE was carried out for crystalline LiFeB2Cl at its relaxed geometry.

Unit cell a=3.7220 b=3.7220 c=5.1564 alpha=90.00 beta=90.00 gamma=90.00
Space group P4/mmm (No. 123)
One atom of each set of equivalent atoms:
1 Li 0.0000 0.0000 0.0000
2 Fe 0.5000 0.5000 0.5000
3 B 0.0000 0.5000 0.5000
4 Cl 0.5000 0.5000 0.0000

## Properties
The density of states at the Fermi level is 1.03 states/eV/f.u. For the total energy, the calculation gives -4.813 eV per atom.

---

A plane-wave DFT calculation with PBE was carried out for crystalline Ta2TeRh at its relaxed geometry.

Unit cell a=3.1367 b=3.1367 c=7.2914 alpha=90.00 beta=90.00 gamma=90.00
Space group P4/mmm (No. 123)
One atom of each set of equivalent atoms:
1 Ta 0.0000 0.0000 0.2384
2 Te 0.5000 0.5000 0.5000
3 Rh 0.5000 0.5000 0.0000

## Properties
The density of states at the Fermi level is 4.44 states/eV/f.u. For the total energy, the calculation gives -8.520 eV per atom.

---

A plane-wave DFT calculation with PBE was carried out for crystalline SrZr4Ag at its relaxed geometry.

Unit cell a=8.5080 b=8.5080 c=8.5080 alpha=90.00 beta=90.00 gamma=90.00
Space group F-43m (No. 216)
One atom of each set of equivalent atoms:
1 Sr 0.0000 0.0000 0.0000
2 Zr 0.1247 0.1247 0.6247
3 Ag 0.2500 0.2500 0.2500

## Properties
The density of states at the Fermi level is 6.51 states/eV/f.u. The value obtained for the energy of formation from the pure elements is 472 meV/atom. For the total energy, the calculation gives -5.982 eV per atom.

---

A plane-wave DFT calculation with PBE was carried out for crystalline Ac2Zn5Cu4 at its relaxed geometry.

Unit cell a=12.6954 b=5.4161 c=7.9676 alpha=90.00 beta=127.03 gamma=90.00
Space group C2/m (No. 12)
One atom of each set of equivalent atoms:
1 Ac 0.2279 0.0000 0.2872
2 Zn 0.0000 0.5000 0.0000
3 Zn 0.0444 0.2479 0.7646
4 Cu 0.1145 0.0000 0.5536
5 Cu 0.2307 0.5000 0.0639

## Properties
The density of states at the Fermi level is 4.21 states/eV/f.u. The value obtained for the energy of formation from the pure elements is -178 meV/atom. For the total energy, the calculation gives -2.994 eV per atom.

---

A plane-wave DFT calculation with PBE was carried out for crystalline PuBiPdO6 at its relaxed geometry.

Unit cell a=5.4038 b=5.4038 c=10.2455 alpha=90.00 beta=90.00 gamma=120.00
Space group P-31c (No. 163)
One atom of each set of equivalent atoms:
1 Pu 0.3333 0.6667 0.2500
2 Bi 0.0000 0.0000 0.0000
3 Pd 0.3333 0.6667 0.7500
4 O 0.0030 0.3542 0.6375

## Properties
The density of states at the Fermi level is 5.72 states/eV/f.u. For the total energy, the calculation gives -7.439 eV per atom.

---

A plane-wave DFT calculation with PBE was carried out for crystalline CaFeRePt2 at its relaxed geometry.

Unit cell a=4.9456 b=4.9456 c=4.4924 alpha=90.00 beta=90.00 gamma=90.00
Space group P4/mmm (No. 123)
One atom of each set of equivalent atoms:
1 Ca 0.0000 0.0000 0.0000
2 Fe 0.5000 0.5000 0.0000
3 Re 0.5000 0.5000 0.5000
4 Pt 0.0000 0.5000 0.5000

## Properties
The density of states at the Fermi level is 3.78 states/eV/f.u. The value obtained for the energy of formation from the pure elements is 432 meV/atom. For the total energy, the calculation gives -6.567 eV per atom.

---

A plane-wave DFT calculation with PBE was carried out for crystalline CaAl2P at its relaxed geometry.

Unit cell a=3.6931 b=3.6931 c=23.0638 alpha=90.00 beta=90.00 gamma=120.00
Space group R3m (No. 160, hexagonal axes)
One atom of each set of equivalent atoms:
1 Ca 0.0000 0.0000 0.0000
2 Al 0.0000 0.0000 0.2212
3 Al 0.0000 0.0000 0.4643
4 P 0.0000 0.0000 0.7482

## Properties
The density of states at the Fermi level is 2.93 states/eV/f.u. The value obtained for the energy of formation from the pure elements is -283 meV/atom. For the total energy, the calculation gives -4.007 eV per atom.

---

A plane-wave DFT calculation with PBE was carried out for crystalline CaFe2Rh at its relaxed geometry.

Unit cell a=9.5919 b=3.1060 c=4.8923 alpha=90.00 beta=106.54 gamma=90.00
Space group C2/m (No. 12)
One atom of each set of equivalent atoms:
1 Ca 0.0000 0.0000 0.0000
2 Fe 0.2213 0.0000 0.6563
3 Rh 0.0000 0.5000 0.5000

## Properties
The density of states at the Fermi level is 4.13 states/eV/f.u. The value obtained for the energy of formation from the pure elements is 207 meV/atom. For the total energy, the calculation gives -6.363 eV per atom.

---

A plane-wave DFT calculation with PBE was carried out for crystalline ZrPtC2 at its relaxed geometry.

Unit cell a=4.7254 b=4.7254 c=10.4694 alpha=90.00 beta=90.00 gamma=90.00
Space group I-42d (No. 122)
One atom of each set of equivalent atoms:
1 Zr 0.0000 0.0000 0.0000
2 Pt 0.0000 0.0000 0.5000
3 C 0.2149 0.2500 0.6250

## Properties
The density of states at the Fermi level is 2.41 states/eV/f.u. The value obtained for the energy of formation from the pure elements is 443 meV/atom. For the total energy, the calculation gives -7.816 eV per atom.

---

A plane-wave DFT calculation with PBE was carried out for crystalline ScMnSi2Ni at its relaxed geometry.

Unit cell a=3.8396 b=3.8396 c=9.6181 alpha=90.00 beta=90.00 gamma=90.00
Space group I-4m2 (No. 119)
One atom of each set of equivalent atoms:
1 Sc 0.0000 0.0000 0.0000
2 Mn 0.0000 0.5000 0.2500
3 Si 0.0000 0.0000 0.3765
4 Ni 0.0000 0.5000 0.7500

## Properties
The density of states at the Fermi level is 3.15 states/eV/f.u. For the total energy, the calculation gives -7.070 eV per atom.

---

A plane-wave DFT calculation with PBE was carried out for crystalline PuAl2Cr at its relaxed geometry.

Unit cell a=2.7740 b=2.7740 c=30.5944 alpha=90.00 beta=90.00 gamma=120.00
Space group R-3m (No. 166, hexagonal axes)
One atom of each set of equivalent atoms:
1 Pu 0.0000 0.0000 0.0000
2 Al 0.0000 0.0000 0.0990
3 Cr 0.0000 0.0000 0.5000

## Properties
The density of states at the Fermi level is 5.66 states/eV/f.u. The value obtained for the energy of formation from the pure elements is 275 meV/atom. For the total energy, the calculation gives -7.585 eV per atom.